Material: Tb2YHo4Sc
Method: DFT, PBE
State: optimized geometry

```
Tb2YHo4Sc
1.0
4.965 0.000 0.000
0.000 4.965 0.000
0.000 0.000 9.890
Tb Y Ho Sc
2 1 4 1
Direct
0.000 0.000 0.000 Tb
0.500 0.500 0.500 Tb
0.000 0.000 0.500 Y
0.000 0.500 0.244 Ho
0.000 0.500 0.756 Ho
0.500 0.000 0.244 Ho
0.500 0.000 0.756 Ho
0.500 0.500 0.000 Sc
```

Calculated values
V in Å³/atom: 30.471
Electronic total energy in eV per cell: -40.1
Formation enthalpy at 0 K in kJ/mol of formula units: 25
Total magnetization in μB/f.u.: 0.00

Material: TbY3Ho6Sc2
Method: DFT, PBE
State: optimized geometry

```
TbY3Ho6Sc2
1.0
3.031 -5.244 0.000
3.031 5.244 0.000
-2.013 0.000 11.401
Tb Y Ho Sc
1 3 6 2
Direct
0.000 0.000 0.000 Tb
0.167 0.833 0.500 Y
0.500 0.500 0.500 Y
0.833 0.167 0.500 Y
0.082 0.418 0.244 Ho
0.254 0.254 0.756 Ho
0.418 0.082 0.244 Ho
0.582 0.918 0.756 Ho
0.746 0.746 0.244 Ho
0.918 0.582 0.756 Ho
0.333 0.667 0.000 Sc
0.667 0.333 0.000 Sc
```

Calculated values
V in Å³/atom: 30.202
Electronic total energy in eV per cell: -63.7
Formation enthalpy at 0 K in kJ/mol of formula units: 46
Total magnetization in μB/f.u.: 0.00

Material: TbY6HoSc2
Method: DFT, PBE
State: optimized geometry

```
TbY6HoSc2
1.0
4.520 -7.350 0.000
4.520 7.350 0.000
-1.166 0.000 9.328
Tb Y Ho Sc
2 12 2 4
Direct
0.029 0.971 0.750 Tb
0.971 0.029 0.250 Tb
0.014 0.560 0.680 Y
0.116 0.759 0.054 Y
0.241 0.884 0.446 Y
0.299 0.508 0.886 Y
0.440 0.986 0.820 Y
0.492 0.701 0.614 Y
0.508 0.299 0.386 Y
0.560 0.014 0.180 Y
0.701 0.492 0.114 Y
0.759 0.116 0.554 Y
0.884 0.241 0.946 Y
0.986 0.440 0.320 Y
0.408 0.592 0.250 Ho
0.592 0.408 0.750 Ho
0.197 0.300 0.550 Sc
0.300 0.197 0.050 Sc
0.700 0.803 0.950 Sc
0.803 0.700 0.450 Sc
```

Calculated values
V in Å³/atom: 30.988
Electronic total energy in eV per cell: -118.8
Formation enthalpy at 0 K in kJ/mol of formula units: 122
Total magnetization in μB/f.u.: 0.00

Material: Tb2Y4HoSc
Method: DFT, PBE
State: optimized geometry

```
Tb2Y4HoSc
1.0
4.990 0.000 0.000
0.000 4.990 0.000
0.000 0.000 9.954
Tb Y Ho Sc
2 4 1 1
Direct
0.000 0.000 0.000 Tb
0.500 0.500 0.500 Tb
0.000 0.500 0.246 Y
0.000 0.500 0.754 Y
0.500 0.000 0.246 Y
0.500 0.000 0.754 Y
0.000 0.000 0.500 Ho
0.500 0.500 0.000 Sc
```

Calculated values
V in Å³/atom: 30.980
Electronic total energy in eV per cell: -45.8
Formation enthalpy at 0 K in kJ/mol of formula units: 26
Total magnetization in μB/f.u.: 0.00

Material: Tb3Y2Ho6Sc
Method: DFT, PBE
State: optimized geometry

```
Tb3Y2Ho6Sc
1.0
3.050 -5.277 0.000
3.050 5.277 0.000
-2.026 0.000 11.487
Tb Y Ho Sc
3 2 6 1
Direct
0.000 0.000 0.000 Tb
0.333 0.667 0.000 Tb
0.667 0.333 0.000 Tb
0.167 0.833 0.500 Y
0.833 0.167 0.500 Y
0.088 0.418 0.252 Ho
0.252 0.252 0.748 Ho
0.418 0.088 0.252 Ho
0.582 0.912 0.748 Ho
0.748 0.748 0.252 Ho
0.912 0.582 0.748 Ho
0.500 0.500 0.500 Sc
```

Calculated values
V in Å³/atom: 30.813
Electronic total energy in eV per cell: -60.3
Formation enthalpy at 0 K in kJ/mol of formula units: 33
Total magnetization in μB/f.u.: 0.00

Material: TbY2HoSc2
Method: DFT, PBE
State: optimized geometry

```
TbY2HoSc2
1.0
6.806 0.000 0.000
0.000 9.448 0.000
0.000 0.000 5.473
Tb Y Ho Sc
2 4 2 4
Direct
0.000 0.000 0.000 Tb
0.500 0.500 0.500 Tb
0.250 0.167 0.500 Y
0.250 0.667 0.000 Y
0.750 0.333 0.000 Y
0.750 0.833 0.500 Y
0.000 0.500 0.500 Ho
0.500 0.000 0.000 Ho
0.250 0.333 0.000 Sc
0.250 0.833 0.500 Sc
0.750 0.167 0.500 Sc
0.750 0.667 0.000 Sc
```

Calculated values
V in Å³/atom: 29.328
Electronic total energy in eV per cell: -68.7
Formation enthalpy at 0 K in kJ/mol of formula units: 43
Total magnetization in μB/f.u.: 0.01

Material: Tb3YHo6Sc2
Method: DFT, PBE
State: optimized geometry

```
Tb3YHo6Sc2
1.0
3.031 -5.244 0.000
3.031 5.244 0.000
-2.015 0.000 11.384
Tb Y Ho Sc
3 1 6 2
Direct
0.000 0.000 0.000 Tb
0.333 0.667 0.000 Tb
0.667 0.333 0.000 Tb
0.500 0.500 0.500 Y
0.081 0.418 0.255 Ho
0.245 0.245 0.745 Ho
0.418 0.081 0.255 Ho
0.582 0.919 0.745 Ho
0.755 0.755 0.255 Ho
0.919 0.582 0.745 Ho
0.167 0.833 0.500 Sc
0.833 0.167 0.500 Sc
```

Calculated values
V in Å³/atom: 30.161
Electronic total energy in eV per cell: -60.0
Formation enthalpy at 0 K in kJ/mol of formula units: 42
Total magnetization in μB/f.u.: 0.00

Material: Tb2Y3Ho6Sc
Method: DFT, PBE
State: optimized geometry

```
Tb2Y3Ho6Sc
1.0
3.049 -5.277 0.000
3.049 5.277 0.000
-2.026 0.000 11.499
Tb Y Ho Sc
2 3 6 1
Direct
0.167 0.833 0.000 Tb
0.833 0.167 0.000 Tb
0.000 0.000 0.500 Y
0.334 0.666 0.500 Y
0.666 0.334 0.500 Y
0.087 0.418 0.753 Ho
0.251 0.251 0.247 Ho
0.418 0.087 0.753 Ho
0.582 0.913 0.247 Ho
0.749 0.749 0.753 Ho
0.913 0.582 0.247 Ho
0.500 0.500 0.000 Sc
```

Calculated values
V in Å³/atom: 30.836
Electronic total energy in eV per cell: -62.1
Formation enthalpy at 0 K in kJ/mol of formula units: 35
Total magnetization in μB/f.u.: 0.00

Material: Tb6YHo2Sc
Method: DFT, PBE
State: optimized geometry

```
Tb6YHo2Sc
1.0
4.514 -7.458 0.000
4.514 7.458 0.000
-1.149 0.000 9.328
Tb Y Ho Sc
12 2 4 2
Direct
0.006 0.564 0.191 Tb
0.127 0.755 0.554 Tb
0.245 0.873 0.946 Tb
0.291 0.505 0.384 Tb
0.436 0.994 0.309 Tb
0.495 0.709 0.116 Tb
0.505 0.291 0.884 Tb
0.564 0.006 0.691 Tb
0.709 0.495 0.616 Tb
0.755 0.127 0.054 Tb
0.873 0.245 0.446 Tb
0.994 0.436 0.809 Tb
0.022 0.978 0.250 Y
0.978 0.022 0.750 Y
0.202 0.307 0.046 Ho
0.307 0.202 0.546 Ho
0.693 0.798 0.454 Ho
0.798 0.693 0.954 Ho
0.415 0.585 0.750 Sc
0.585 0.415 0.250 Sc
```

Calculated values
V in Å³/atom: 31.398
Electronic total energy in eV per cell: -97.0
Formation enthalpy at 0 K in kJ/mol of formula units: 120
Total magnetization in μB/f.u.: 0.00

Material: TbY2HoSc
Method: DFT, PBE
State: optimized geometry

```
TbY2HoSc
1.0
4.087 -5.592 0.000
4.087 5.592 0.000
0.000 0.000 7.103
Tb Y Ho Sc
2 4 2 2
Direct
0.232 0.768 0.750 Tb
0.768 0.232 0.250 Tb
0.198 0.198 0.000 Y
0.198 0.198 0.500 Y
0.802 0.802 0.000 Y
0.802 0.802 0.500 Y
0.232 0.768 0.250 Ho
0.768 0.232 0.750 Ho
0.499 0.501 0.750 Sc
0.501 0.499 0.250 Sc
```

Calculated values
V in Å³/atom: 32.464
Electronic total energy in eV per cell: -53.4
Formation enthalpy at 0 K in kJ/mol of formula units: 171
Total magnetization in μB/f.u.: 0.00

Material: Tb4Y2HoSc
Method: DFT, PBE
State: optimized geometry

```
Tb4Y2HoSc
1.0
4.986 0.000 0.000
0.000 4.986 0.000
0.000 0.000 9.932
Tb Y Ho Sc
4 2 1 1
Direct
0.000 0.500 0.245 Tb
0.000 0.500 0.755 Tb
0.500 0.000 0.245 Tb
0.500 0.000 0.755 Tb
0.000 0.000 0.000 Y
0.500 0.500 0.500 Y
0.000 0.000 0.500 Ho
0.500 0.500 0.000 Sc
```

Calculated values
V in Å³/atom: 30.863
Electronic total energy in eV per cell: -42.1
Formation enthalpy at 0 K in kJ/mol of formula units: 25
Total magnetization in μB/f.u.: 0.00

Material: Tb6Y3HoSc2
Method: DFT, PBE
State: optimized geometry

```
Tb6Y3HoSc2
1.0
3.048 -5.274 0.000
3.048 5.274 0.000
-2.024 0.000 11.411
Tb Y Ho Sc
6 3 1 2
Direct
0.082 0.418 0.757 Tb
0.246 0.246 0.243 Tb
0.418 0.082 0.757 Tb
0.582 0.918 0.243 Tb
0.754 0.754 0.757 Tb
0.918 0.582 0.243 Tb
0.000 0.000 0.500 Y
0.333 0.667 0.500 Y
0.667 0.333 0.500 Y
0.500 0.500 0.000 Ho
0.167 0.833 0.000 Sc
0.833 0.167 0.000 Sc
```

Calculated values
V in Å³/atom: 30.566
Electronic total energy in eV per cell: -64.0
Formation enthalpy at 0 K in kJ/mol of formula units: 44
Total magnetization in μB/f.u.: 0.00

Material: TbY2HoSc4
Method: DFT, PBE
State: optimized geometry

```
TbY2HoSc4
1.0
4.896 0.000 0.000
0.000 4.896 0.000
0.000 0.000 9.347
Tb Y Ho Sc
1 2 1 4
Direct
0.000 0.000 0.000 Tb
0.000 0.000 0.500 Y
0.500 0.500 0.000 Y
0.500 0.500 0.500 Ho
0.000 0.500 0.250 Sc
0.000 0.500 0.750 Sc
0.500 0.000 0.250 Sc
0.500 0.000 0.750 Sc
```

Calculated values
V in Å³/atom: 28.012
Electronic total energy in eV per cell: -47.0
Formation enthalpy at 0 K in kJ/mol of formula units: 44
Total magnetization in μB/f.u.: 0.00

Material: Tb5YHo2Sc
Method: DFT, PBE
State: optimized geometry

```
Tb5YHo2Sc
1.0
2.767 -10.005 0.000
2.767 10.005 0.000
0.000 0.000 10.310
Tb Y Ho Sc
10 2 4 2
Direct
0.016 0.984 0.500 Tb
0.274 0.726 0.805 Tb
0.300 0.700 0.191 Tb
0.376 0.624 0.506 Tb
0.482 0.518 0.226 Tb
0.518 0.482 0.726 Tb
0.624 0.376 0.006 Tb
0.700 0.300 0.691 Tb
0.726 0.274 0.305 Tb
0.984 0.016 0.000 Tb
0.407 0.593 0.941 Y
0.593 0.407 0.441 Y
0.112 0.888 0.795 Ho
0.115 0.885 0.221 Ho
0.885 0.115 0.721 Ho
0.888 0.112 0.295 Ho
0.195 0.805 0.500 Sc
0.805 0.195 0.000 Sc
```

Calculated values
V in Å³/atom: 31.711
Electronic total energy in eV per cell: -87.2
Formation enthalpy at 0 K in kJ/mol of formula units: 147
Total magnetization in μB/f.u.: 0.00

Material: Tb2YHo6Sc3
Method: DFT, PBE
State: optimized geometry

```
Tb2YHo6Sc3
1.0
3.015 -5.218 0.000
3.015 5.218 0.000
-2.005 0.000 11.265
Tb Y Ho Sc
2 1 6 3
Direct
0.167 0.833 0.000 Tb
0.833 0.167 0.000 Tb
0.500 0.500 0.000 Y
0.079 0.413 0.740 Ho
0.253 0.253 0.260 Ho
0.413 0.079 0.740 Ho
0.587 0.921 0.260 Ho
0.747 0.747 0.740 Ho
0.921 0.587 0.260 Ho
0.000 0.000 0.500 Sc
0.333 0.667 0.500 Sc
0.667 0.333 0.500 Sc
```

Calculated values
V in Å³/atom: 29.543
Electronic total energy in eV per cell: -61.7
Formation enthalpy at 0 K in kJ/mol of formula units: 52
Total magnetization in μB/f.u.: 0.00

Material: TbYHoSc
Method: DFT, PBE
State: optimized geometry

```
TbYHoSc
1.0
-1.885 2.792 5.729
1.885 -2.792 5.729
1.885 2.792 -5.729
Tb Y Ho Sc
1 1 1 1
Direct
0.000 0.000 0.000 Tb
0.727 0.227 0.500 Y
0.458 0.458 0.000 Ho
0.230 0.730 0.500 Sc
```

Calculated values
V in Å³/atom: 30.154
Offset from the most stable computed form in meV/atom: 0
Electronic total energy in eV per cell: -21.6
Formation enthalpy at 0 K in kJ/mol of formula units: 41
Total magnetization in μB/f.u.: 0.01

Material: TbYHo2Sc4
Method: DFT, PBE
State: optimized geometry

```
TbYHo2Sc4
1.0
4.882 0.000 0.000
0.000 4.882 0.000
0.000 0.000 9.345
Tb Y Ho Sc
1 1 2 4
Direct
0.000 0.000 0.000 Tb
0.500 0.500 0.500 Y
0.000 0.000 0.500 Ho
0.500 0.500 0.000 Ho
0.000 0.500 0.249 Sc
0.000 0.500 0.751 Sc
0.500 0.000 0.249 Sc
0.500 0.000 0.751 Sc
```

Calculated values
V in Å³/atom: 27.840
Electronic total energy in eV per cell: -45.1
Formation enthalpy at 0 K in kJ/mol of formula units: 42
Total magnetization in μB/f.u.: 0.00

Material: TbYHo5Sc2
Method: DFT, PBE
State: optimized geometry

```
TbYHo5Sc2
1.0
2.782 -10.687 0.000
2.782 10.687 0.000
0.000 0.000 9.285
Tb Y Ho Sc
2 2 10 4
Direct
0.186 0.814 0.500 Tb
0.814 0.186 0.000 Tb
0.402 0.598 0.902 Y
0.598 0.402 0.402 Y
0.010 0.990 0.499 Ho
0.265 0.735 0.817 Ho
0.307 0.693 0.202 Ho
0.392 0.608 0.528 Ho
0.468 0.532 0.231 Ho
0.532 0.468 0.731 Ho
0.608 0.392 0.028 Ho
0.693 0.307 0.702 Ho
0.735 0.265 0.317 Ho
0.990 0.010 0.999 Ho
0.113 0.887 0.806 Sc
0.139 0.861 0.179 Sc
0.861 0.139 0.679 Sc
0.887 0.113 0.306 Sc
```

Calculated values
V in Å³/atom: 30.670
Electronic total energy in eV per cell: -90.2
Formation enthalpy at 0 K in kJ/mol of formula units: 149
Total magnetization in μB/f.u.: 0.00

Material: TbY3HoSc
Method: DFT, PBE
State: optimized geometry

```
TbY3HoSc
1.0
2.480 -7.466 0.000
2.480 7.466 0.000
0.000 0.000 9.921
Tb Y Ho Sc
2 6 2 2
Direct
0.000 0.000 0.000 Tb
0.000 0.000 0.500 Tb
0.169 0.831 0.750 Y
0.333 0.667 0.501 Y
0.333 0.667 0.999 Y
0.667 0.333 0.001 Y
0.667 0.333 0.499 Y
0.831 0.169 0.250 Y
0.498 0.502 0.750 Ho
0.502 0.498 0.250 Ho
0.166 0.834 0.250 Sc
0.834 0.166 0.750 Sc
```

Calculated values
V in Å³/atom: 30.610
Electronic total energy in eV per cell: -69.4
Formation enthalpy at 0 K in kJ/mol of formula units: 24
Total magnetization in μB/f.u.: 0.00

Material: Tb6YHo3Sc2
Method: DFT, PBE
State: optimized geometry

```
Tb6YHo3Sc2
1.0
3.040 -5.261 0.000
3.040 5.261 0.000
-2.019 0.000 11.385
Tb Y Ho Sc
6 1 3 2
Direct
0.081 0.418 0.755 Tb
0.245 0.245 0.245 Tb
0.418 0.081 0.755 Tb
0.582 0.919 0.245 Tb
0.755 0.755 0.755 Tb
0.919 0.582 0.245 Tb
0.500 0.500 0.000 Y
0.000 0.000 0.500 Ho
0.333 0.667 0.500 Ho
0.667 0.333 0.500 Ho
0.167 0.833 0.000 Sc
0.833 0.167 0.000 Sc
```

Calculated values
V in Å³/atom: 30.350
Electronic total energy in eV per cell: -60.2
Formation enthalpy at 0 K in kJ/mol of formula units: 41
Total magnetization in μB/f.u.: 0.00